Record 1
# CuHg3Cl | Alexandria | PBE-GGA | relaxed
data_CuHg3Cl
_cell_length_a 5.146
_cell_length_b 5.146
_cell_length_c 5.146
_cell_angle_alpha 90.00
_cell_angle_beta 90.00
_cell_angle_gamma 90.00
_space_group_name_H-M_alt 'P 1'
_space_group_IT_number 1
_space_group_name_Hall 'P 1'
loop_
_atom_site_label
_atom_site_fract_x
_atom_site_fract_y
_atom_site_fract_z
_atom_site_occupancy
Cl1 0.500 0.500 0.500 1
Cu1 0.000 0.000 0.000 1
Hg1 0.000 0.000 0.500 1
Hg2 0.500 0.000 0.000 1
Hg3 0.000 0.500 0.000 1
# - Uncorrected formation energy: -0.06 eV per atom

Record 2
# SrPr3Pt | Alexandria | PBE-GGA | relaxed
data_SrPr3Pt
_cell_length_a 6.649
_cell_length_b 8.059
_cell_length_c 8.059
_cell_angle_alpha 120.00
_cell_angle_beta 90.00
_cell_angle_gamma 90.00
_space_group_name_H-M_alt 'P 1'
_space_group_IT_number 1
_space_group_name_Hall 'P 1'
loop_
_atom_site_label
_atom_site_fract_x
_atom_site_fract_y
_atom_site_fract_z
_atom_site_occupancy
Pr1 0.750 0.172 0.344 1
Pr2 0.750 0.172 0.828 1
Pr3 0.250 0.828 0.172 1
Pr4 0.750 0.656 0.828 1
Pr5 0.250 0.828 0.656 1
Pr6 0.250 0.344 0.172 1
Pt1 0.500 0.000 0.000 1
Pt2 0.000 0.000 0.000 1
Sr1 0.250 0.333 0.667 1
Sr2 0.750 0.667 0.333 1
# - ΔE_f: -0.321 eV per atom

Record 3
# TcNiRu | Alexandria | PBE-GGA | relaxed
data_TcNiRu
_cell_length_a 4.060
_cell_length_b 4.060
_cell_length_c 4.060
_cell_angle_alpha 60.00
_cell_angle_beta 60.00
_cell_angle_gamma 60.00
_space_group_name_H-M_alt 'P 1'
_space_group_IT_number 1
_space_group_name_Hall 'P 1'
loop_
_atom_site_label
_atom_site_fract_x
_atom_site_fract_y
_atom_site_fract_z
_atom_site_occupancy
Tc1 0.750 0.750 0.750 1
Ni1 0.000 0.000 0.000 1
Ru1 0.500 0.500 0.500 1
# - ΔE_f: 0.600 eV per atom

Record 4
# Li2Cd2F7 | Alexandria | PBE-GGA | relaxed
data_Li2Cd2F7
_cell_length_a 5.669
_cell_length_b 5.501
_cell_length_c 5.669
_cell_angle_alpha 90.01
_cell_angle_beta 72.55
_cell_angle_gamma 89.99
_space_group_name_H-M_alt 'P 1'
_space_group_IT_number 1
_space_group_name_Hall 'P 1'
loop_
_atom_site_label
_atom_site_fract_x
_atom_site_fract_y
_atom_site_fract_z
_atom_site_occupancy
Cd1 0.698 0.500 0.698 1
Cd2 0.302 0.500 0.302 1
F1 0.000 0.746 0.500 1
F2 0.000 0.254 0.500 1
F3 0.500 0.242 0.500 1
F4 0.000 0.000 0.000 1
F5 0.500 0.746 0.000 1
F6 0.500 0.254 0.000 1
F7 0.500 0.758 0.500 1
Li1 0.720 0.000 0.280 1
Li2 0.280 0.000 0.720 1
# - Uncorrected formation energy: -2.14 eV per atom

Number 1: energy above the most stable polymorph in this dataset 0 meV per atom, total energy -1.425 eV/atom. Number 2: energy above the most stable polymorph in this dataset 0 meV per atom, total energy -4.733 eV/atom. Number 3: energy above the most stable polymorph in this dataset 590 meV per atom, total energy -7.874 eV/atom. Number 4: energy above the most stable polymorph in this dataset 63 meV per atom, total energy -3.845 eV/atom.